Record 1
Here is a relaxed structure of TlCuSnI5 from Alexandria. Energies are from PBE-GGA.

Cell lengths 8.267, 8.267, 11.400 Å; angles 104.11, 104.11, 106.32 degrees
Fractional coordinates of all 16 atoms:
I1 0.391 0.247 0.071
I2 0.609 0.753 0.929
I3 0.673 0.098 0.387
I4 0.327 0.902 0.613
I5 0.917 0.083 0.750
I6 0.083 0.917 0.250
I7 0.902 0.327 0.113
I8 0.247 0.391 0.571
I9 0.098 0.673 0.887
I10 0.753 0.609 0.429
Cu1 0.694 0.306 0.250
Cu2 0.306 0.694 0.750
Tl1 0.356 0.644 0.250
Tl2 0.644 0.356 0.750
Sn1 0.000 0.000 0.500
Sn2 0.000 0.000 0.000

Calculated values
Crystal system: monoclinic
Total DFT energy (no corrections) in eV/atom: -2.6466
Spin magnetization in μB per cell: 0.000

=====

Record 2
Here is a relaxed structure of Tb2Pr2Nd4Dy from Alexandria. Energies are from PBE-GGA.

Cell lengths 3.685, 9.707, 9.778 Å; angles 115.13, 90.00, 100.94 degrees
Fractional coordinates of all 9 atoms:
Tb1 0.148 0.296 0.667
Tb2 0.852 0.704 0.333
Nd1 0.814 0.629 0.667
Nd2 0.186 0.371 0.333
Nd3 0.482 0.964 0.667
Nd4 0.518 0.036 0.333
Pr1 0.335 0.669 0.002
Pr2 0.665 0.331 0.998
Dy1 0.000 0.000 0.000

Calculated values
Crystal system: monoclinic
Total DFT energy (no corrections) in eV/atom: -4.7127
Spin magnetization in μB per cell: 0.000
Energy of formation from the pure elements in kJ/mol of formula units: 8